[1]
Ge2BiO: optimized geometry, PBE-GGA.

- crystal system = tetragonal
- raw formation energy (eV/atom) = -0.1230
- space-group type = I-42d (122)
- density of states at the Fermi level (states/eV/atom) = 0.48
- energy relative to the lowest polymorph listed for this composition (meV per atom) = 0.0
- E_tot (eV/atom) = -4.642

abc: 7.471 7.471 7.471
angles: 138.56 138.56 60.05
Fractional positions:
1 Ge 0.375 0.235 0.360
2 Ge 0.765 0.125 0.140
3 Ge 0.875 0.015 0.640
4 Ge 0.985 0.625 0.860
5 Bi 0.250 0.750 0.500
6 Bi 0.500 0.500 0.000
7 O 0.000 0.000 0.000
8 O 0.750 0.250 0.500

[2]
GeBiO3: optimized geometry, PBE-GGA.

- crystal system = cubic
- raw formation energy (eV/atom) = -1.0245
- space-group type = Pm-3m (221)
- density of states at the Fermi level (states/eV/atom) = 0.23
- E_tot (eV/atom) = -5.699

abc: 3.909 3.909 3.909
angles: 90.00 90.00 90.00
Fractional positions:
1 Ge 0.000 0.000 0.000
2 Bi 0.500 0.500 0.500
3 O 0.000 0.000 0.500
4 O 0.000 0.500 0.000
5 O 0.500 0.000 0.000

[3]
GeBiP2O: optimized geometry, PBE-GGA.

- crystal system = tetragonal
- raw formation energy (eV/atom) = 0.0921
- space-group type = P4/mmm (123)
- density of states at the Fermi level (states/eV/atom) = 0.44
- energy relative to the lowest polymorph listed for this composition (meV per atom) = 0.0
- E_tot (eV/atom) = -4.763

abc: 4.966 4.966 3.691
angles: 90.00 90.00 90.00
Fractional positions:
1 Ge 0.000 0.000 0.000
2 Bi 0.500 0.500 0.500
3 P 0.000 0.500 0.000
4 P 0.500 0.000 0.000
5 O 0.000 0.000 0.500

[4]
GeBiP2O: optimized geometry, PBE-GGA.

- crystal system = tetragonal
- raw formation energy (eV/atom) = 0.7520
- space-group type = P4/mmm (123)
- density of states at the Fermi level (states/eV/atom) = 0.76
- energy relative to the lowest polymorph listed for this composition (meV per atom) = 659.9
- E_tot (eV/atom) = -4.103

abc: 5.294 5.294 4.148
angles: 90.00 90.00 90.00
Fractional positions:
1 Ge 0.000 0.000 0.000
2 Bi 0.500 0.500 0.500
3 P 0.000 0.500 0.500
4 P 0.500 0.000 0.500
5 O 0.500 0.500 0.000

[5]
PaGeBi2O8: optimized geometry, PBE-GGA.

- crystal system = orthorhombic
- raw formation energy (eV/atom) = -1.8471
- space-group type = Cmmm (65)
- density of states at the Fermi level (states/eV/atom) = 0.34
- E_tot (eV/atom) = -6.976

abc: 5.080 5.080 6.801
angles: 90.00 90.00 90.78
Fractional positions:
1 Pa 0.000 0.000 0.000
2 Ge 0.000 0.000 0.500
3 Bi 0.500 0.500 0.265
4 Bi 0.500 0.500 0.735
5 O 0.176 0.824 0.266
6 O 0.176 0.824 0.734
7 O 0.260 0.260 0.500
8 O 0.305 0.305 0.000
9 O 0.695 0.695 0.000
10 O 0.740 0.740 0.500
11 O 0.824 0.176 0.266
12 O 0.824 0.176 0.734

[6]
PaGeBiO6: optimized geometry, PBE-GGA.

- crystal system = trigonal
- raw formation energy (eV/atom) = -2.1897
- space-group type = P-31c (163)
- density of states at the Fermi level (states/eV/atom) = 0.00
- E_tot (eV/atom) = -7.495

abc: 5.484 5.484 9.863
angles: 90.00 90.00 120.00
Fractional positions:
1 Pa 0.333 0.667 0.250
2 Pa 0.667 0.333 0.750
3 Ge 0.333 0.667 0.750
4 Ge 0.667 0.333 0.250
5 Bi 0.000 0.000 0.000
6 Bi 0.000 0.000 0.500
7 O 0.034 0.377 0.640
8 O 0.034 0.657 0.860
9 O 0.343 0.377 0.860
10 O 0.343 0.966 0.640
11 O 0.377 0.034 0.140
12 O 0.377 0.343 0.360
13 O 0.623 0.657 0.640
14 O 0.623 0.966 0.860
15 O 0.657 0.034 0.360
16 O 0.657 0.623 0.140
17 O 0.966 0.343 0.140
18 O 0.966 0.623 0.360